Run one
VASP calculation (GGA-PBE) on an optimized crystal structure of AsPOs2.

Output
Its total magnetization is 0.00 μB/f.u.

a b c (Å): 4.682 4.682 4.682
angles (deg): 130.31 130.31 72.91
Fractional coordinates of all 4 atoms:
As1 0.000 0.000 0.000
P1 0.750 0.250 0.500
Os1 0.250 0.750 0.500
Os2 0.500 0.500 0.000

Run two
VASP calculation (GGA-PBE) on an optimized crystal structure of AsPOs2.

Output
Its total magnetization is 0.00 μB/f.u.

a b c (Å): 4.164 4.164 5.121
angles (deg): 101.88 101.88 41.09
Fractional coordinates of all 4 atoms:
As1 0.000 0.000 0.000
P1 0.500 0.500 0.500
Os1 0.244 0.244 0.733
Os2 0.756 0.756 0.267

Run three
VASP calculation (GGA-PBE) on an optimized crystal structure of AsPOs2.

Output
Its total magnetization is 0.00 μB/f.u.

a b c (Å): 2.819 2.819 10.021
angles (deg): 90.00 90.00 120.80
Fractional coordinates of all 4 atoms:
As1 0.000 0.000 0.000
P1 0.500 0.500 0.361
Os1 0.000 0.000 0.552
Os2 0.500 0.500 0.786

Least stable of them? run one.